Record 1
VASP calculation (GGA-PBE) on a relaxed LaCeGaOs crystal.

```
data_LaCeGaOs
_chemical_formula_sum 'La4 Ce4 Ga4 Os4'
_cell_length_a 7.201
_cell_length_b 7.201
_cell_length_c 7.201
_cell_angle_alpha 90.00
_cell_angle_beta 90.00
_cell_angle_gamma 90.00
_symmetry_space_group_name_H-M 'F -4 3 m'
_symmetry_Int_Tables_number 216
_symmetry_space_group_name_Hall 'F -4 2 3'
loop_
_atom_site_label
_atom_site_type_symbol
_atom_site_fract_x
_atom_site_fract_y
_atom_site_fract_z
La1 La 0.000 0.000 0.000
Ce1 Ce 0.000 0.000 0.500
Ga1 Ga 0.250 0.250 0.250
Os1 Os 0.250 0.250 0.750
```

## Properties
Density of states at the Fermi level, states/eV per cell: 17.2
Energy relative to the elements, eV per formula unit: -0.8


Record 2
VASP calculation (GGA-PBE) on a relaxed LaCeGaPb crystal.

```
data_LaCeGaPb
_chemical_formula_sum 'La4 Ce4 Ga4 Pb4'
_cell_length_a 7.726
_cell_length_b 7.726
_cell_length_c 7.726
_cell_angle_alpha 90.00
_cell_angle_beta 90.00
_cell_angle_gamma 90.00
_symmetry_space_group_name_H-M 'F -4 3 m'
_symmetry_Int_Tables_number 216
_symmetry_space_group_name_Hall 'F -4 2 3'
loop_
_atom_site_label
_atom_site_type_symbol
_atom_site_fract_x
_atom_site_fract_y
_atom_site_fract_z
La1 La 0.000 0.000 0.000
Ce1 Ce 0.000 0.000 0.500
Ga1 Ga 0.250 0.250 0.250
Pb1 Pb 0.250 0.250 0.750
```

## Properties
Density of states at the Fermi level, states/eV per cell: 32.4
Energy relative to the elements, eV per formula unit: -1.7


Record 3
VASP calculation (GGA-PBE) on a relaxed La2CeGa3Pd4 crystal.

```
data_La2CeGa3Pd4
_chemical_formula_sum 'La2 Ce1 Ga3 Pd4'
_cell_length_a 4.445
_cell_length_b 4.445
_cell_length_c 10.927
_cell_angle_alpha 90.00
_cell_angle_beta 90.00
_cell_angle_gamma 90.00
_symmetry_space_group_name_H-M 'P -4 m 2'
_symmetry_Int_Tables_number 115
loop_
_symmetry_equiv_pos_as_xyz
'x,y,z'
'y,-x,-z'
'-x,-y,z'
'-y,x,-z'
'-x,y,z'
'-y,-x,-z'
'x,-y,z'
'y,x,-z'
loop_
_atom_site_label
_atom_site_type_symbol
_atom_site_fract_x
_atom_site_fract_y
_atom_site_fract_z
La1 La 0.000 0.500 0.228
Ce1 Ce 0.000 0.000 0.500
Ga1 Ga 0.000 0.500 0.884
Ga2 Ga 0.500 0.500 0.500
Pd1 Pd 0.000 0.000 0.000
Pd2 Pd 0.000 0.500 0.655
Pd3 Pd 0.500 0.500 0.000
```

## Properties
Density of states at the Fermi level, states/eV per cell: 9.7
Energy relative to the elements, eV per formula unit: -7.7


Record 4
VASP calculation (GGA-PBE) on a relaxed LaCeGa2Pd5 crystal.

```
data_LaCeGa2Pd5
_chemical_formula_sum 'La1 Ce1 Ga2 Pd5'
_cell_length_a 4.358
_cell_length_b 4.358
_cell_length_c 9.142
_cell_angle_alpha 90.00
_cell_angle_beta 90.00
_cell_angle_gamma 90.00
_symmetry_space_group_name_H-M 'P 4/m m m'
_symmetry_Int_Tables_number 123
_symmetry_space_group_name_Hall '-P 4 2'
loop_
_atom_site_label
_atom_site_type_symbol
_atom_site_fract_x
_atom_site_fract_y
_atom_site_fract_z
La1 La 0.000 0.000 0.000
Ce1 Ce 0.000 0.000 0.500
Ga1 Ga 0.500 0.500 0.361
Pd1 Pd 0.000 0.500 0.227
Pd2 Pd 0.500 0.500 0.000
```

## Properties
Density of states at the Fermi level, states/eV per cell: 11.6
Energy relative to the elements, eV per formula unit: -6.8


Record 5
VASP calculation (GGA-PBE) on a relaxed LaCePrGa crystal.

```
data_LaCePrGa
_chemical_formula_sum 'La4 Ce4 Pr4 Ga4'
_cell_length_a 7.659
_cell_length_b 7.659
_cell_length_c 7.659
_cell_angle_alpha 90.00
_cell_angle_beta 90.00
_cell_angle_gamma 90.00
_symmetry_space_group_name_H-M 'F -4 3 m'
_symmetry_Int_Tables_number 216
_symmetry_space_group_name_Hall 'F -4 2 3'
loop_
_atom_site_label
_atom_site_type_symbol
_atom_site_fract_x
_atom_site_fract_y
_atom_site_fract_z
La1 La 0.000 0.000 0.000
Ce1 Ce 0.250 0.250 0.750
Pr1 Pr 0.000 0.000 0.500
Ga1 Ga 0.250 0.250 0.250
```

## Properties
Density of states at the Fermi level, states/eV per cell: 30.1
Energy relative to the elements, eV per formula unit: -0.2


Record 6
VASP calculation (GGA-PBE) on a relaxed LaCeGaPt crystal.

```
data_LaCeGaPt
_chemical_formula_sum 'La4 Ce4 Ga4 Pt4'
_cell_length_a 7.342
_cell_length_b 7.342
_cell_length_c 7.342
_cell_angle_alpha 90.00
_cell_angle_beta 90.00
_cell_angle_gamma 90.00
_symmetry_space_group_name_H-M 'F -4 3 m'
_symmetry_Int_Tables_number 216
_symmetry_space_group_name_Hall 'F -4 2 3'
loop_
_atom_site_label
_atom_site_type_symbol
_atom_site_fract_x
_atom_site_fract_y
_atom_site_fract_z
La1 La 0.000 0.000 0.000
Ce1 Ce 0.000 0.000 0.500
Ga1 Ga 0.250 0.250 0.250
Pt1 Pt 0.250 0.250 0.750
```

## Properties
Density of states at the Fermi level, states/eV per cell: 29.1
Energy relative to the elements, eV per formula unit: -2.8


Record 7
VASP calculation (GGA-PBE) on a relaxed LaCeGa2Pt5 crystal.

```
data_LaCeGa2Pt5
_chemical_formula_sum 'La1 Ce1 Ga2 Pt5'
_cell_length_a 4.341
_cell_length_b 4.341
_cell_length_c 9.205
_cell_angle_alpha 90.00
_cell_angle_beta 90.00
_cell_angle_gamma 90.00
_symmetry_space_group_name_H-M 'P 4/m m m'
_symmetry_Int_Tables_number 123
_symmetry_space_group_name_Hall '-P 4 2'
loop_
_atom_site_label
_atom_site_type_symbol
_atom_site_fract_x
_atom_site_fract_y
_atom_site_fract_z
La1 La 0.000 0.000 0.000
Ce1 Ce 0.000 0.000 0.500
Ga1 Ga 0.500 0.500 0.364
Pt1 Pt 0.000 0.500 0.231
Pt2 Pt 0.500 0.500 0.000
```

## Properties
Density of states at the Fermi level, states/eV per cell: 11.4
Energy relative to the elements, eV per formula unit: -7.9


Record 8
VASP calculation (GGA-PBE) on a relaxed LaCe2Ga2Pt7 crystal.

```
data_LaCe2Ga2Pt7
_chemical_formula_sum 'La2 Ce4 Ga4 Pt14'
_cell_length_a 5.906
_cell_length_b 5.815
_cell_length_c 14.269
_cell_angle_alpha 90.00
_cell_angle_beta 98.95
_cell_angle_gamma 90.00
_symmetry_space_group_name_H-M 'C 1 2/m 1'
_symmetry_Int_Tables_number 12
loop_
_symmetry_equiv_pos_as_xyz
'x,y,z'
'-x,-y,-z'
'-x,y,-z'
'x,-y,z'
'x+1/2,y+1/2,z'
'-x+1/2,-y+1/2,-z'
'-x+1/2,y+1/2,-z'
'x+1/2,-y+1/2,z'
loop_
_atom_site_label
_atom_site_type_symbol
_atom_site_fract_x
_atom_site_fract_y
_atom_site_fract_z
La1 La 0.000 0.000 0.000
Ce1 Ce 0.121 0.000 0.360
Ga1 Ga 0.098 0.500 0.258
Pt1 Pt 0.000 0.500 0.000
Pt2 Pt 0.132 0.500 0.431
Pt3 Pt 0.189 0.250 0.841
```

## Properties
Density of states at the Fermi level, states/eV per cell: 30.6
Energy relative to the elements, eV per formula unit: -10.8


What did the second record say?
VASP calculation (GGA-PBE) on a relaxed LaCeGaPb crystal.

```
data_LaCeGaPb
_chemical_formula_sum 'La4 Ce4 Ga4 Pb4'
_cell_length_a 7.726
_cell_length_b 7.726
_cell_length_c 7.726
_cell_angle_alpha 90.00
_cell_angle_beta 90.00
_cell_angle_gamma 90.00
_symmetry_space_group_name_H-M 'F -4 3 m'
_symmetry_Int_Tables_number 216
_symmetry_space_group_name_Hall 'F -4 2 3'
loop_
_atom_site_label
_atom_site_type_symbol
_atom_site_fract_x
_atom_site_fract_y
_atom_site_fract_z
La1 La 0.000 0.000 0.000
Ce1 Ce 0.000 0.000 0.500
Ga1 Ga 0.250 0.250 0.250
Pb1 Pb 0.250 0.250 0.750
```

## Properties
Density of states at the Fermi level, states/eV per cell: 32.4
Energy relative to the elements, eV per formula unit: -1.7


Question: Look up the energy relative to the elements of the sixth one.
Answer: -2.8 eV per formula unit


Question: Among the records above, which one has the lowest density of states at the Fermi level?
Answer: La2CeGa3Pd4


Question: Look up the density of states at the Fermi level of the seventh one.
Answer: 11.4 states/eV per cell